# KPr2TeSe4 | Alexandria | PBE | optimized geometry
data_KPr2TeSe4
_cell_length_a 4.4057
_cell_length_b 15.0806
_cell_length_c 15.6275
_cell_angle_alpha 90.00
_cell_angle_beta 90.00
_cell_angle_gamma 90.00
_symmetry_space_group_name_H-M 'C m c m'
_symmetry_Int_Tables_number 63
_symmetry_space_group_name_Hall '-C 2c 2'
loop_
_atom_site_label
_atom_site_type_symbol
_atom_site_fract_x
_atom_site_fract_y
_atom_site_fract_z
_atom_site_occupancy
K1 K 0.0000 0.1624 0.2500 1
Pr1 Pr 0.0000 0.3687 0.0575 1
Te1 Te 0.0000 0.0935 0.7500 1
Se1 Se 0.0000 0.0000 0.0000 1
Se2 Se 0.0000 0.2666 0.5984 1
Se3 Se 0.0000 0.4973 0.2500 1
# * uncorrected formation energy: -1.240 eV/atom
# * D(E_F): 1.26 states/eV/f.u.
# * uncorrected energy: -4.71 eV/atom
# * calculated volume: 1038 Å³ per cell

# K3Pr2ThSe6 | Alexandria | PBE | optimized geometry
data_K3Pr2ThSe6
_cell_length_a 19.9037
_cell_length_b 4.3362
_cell_length_c 9.2275
_cell_angle_alpha 90.00
_cell_angle_beta 108.21
_cell_angle_gamma 90.00
_symmetry_space_group_name_H-M 'C 1 2/m 1'
_symmetry_Int_Tables_number 12
loop_
_symmetry_equiv_pos_as_xyz
'x,y,z'
'-x,-y,-z'
'-x,y,-z'
'x,-y,z'
'x+1/2,y+1/2,z'
'-x+1/2,-y+1/2,-z'
'-x+1/2,y+1/2,-z'
'x+1/2,-y+1/2,z'
loop_
_atom_site_label
_atom_site_type_symbol
_atom_site_fract_x
_atom_site_fract_y
_atom_site_fract_z
_atom_site_occupancy
K1 K 0.0000 0.0000 0.0000 1
K2 K 0.1689 0.5000 0.3334 1
Pr1 Pr 0.1684 0.5000 0.8381 1
Th1 Th 0.0000 0.0000 0.5000 1
Se1 Se 0.0059 0.5000 0.7241 1
Se2 Se 0.1553 0.0000 0.5986 1
Se3 Se 0.1734 0.0000 0.0662 1
# * uncorrected formation energy: -1.682 eV/atom
# * D(E_F): 4.90 states/eV/f.u.
# * uncorrected energy: -5.11 eV/atom
# * calculated volume: 756 Å³ per cell

# K3PrTh2Se6 | Alexandria | PBE | optimized geometry
data_K3PrTh2Se6
_cell_length_a 7.4223
_cell_length_b 12.8537
_cell_length_c 8.1953
_cell_angle_alpha 90.00
_cell_angle_beta 107.58
_cell_angle_gamma 90.00
_symmetry_space_group_name_H-M 'C 1 2/m 1'
_symmetry_Int_Tables_number 12
loop_
_symmetry_equiv_pos_as_xyz
'x,y,z'
'-x,-y,-z'
'-x,y,-z'
'x,-y,z'
'x+1/2,y+1/2,z'
'-x+1/2,-y+1/2,-z'
'-x+1/2,y+1/2,-z'
'x+1/2,-y+1/2,z'
loop_
_atom_site_label
_atom_site_type_symbol
_atom_site_fract_x
_atom_site_fract_y
_atom_site_fract_z
_atom_site_occupancy
K1 K 0.0000 0.0000 0.0000 1
K2 K 0.0000 0.3352 0.0000 1
Pr1 Pr 0.0000 0.5000 0.5000 1
Th1 Th 0.0000 0.1668 0.5000 1
Se1 Se 0.2307 0.0000 0.7162 1
Se2 Se 0.2429 0.3293 0.7164 1
# * uncorrected formation energy: -1.613 eV/atom
# * D(E_F): 7.27 states/eV/f.u.
# * uncorrected energy: -5.27 eV/atom
# * calculated volume: 745 Å³ per cell

# K3PrTh3Se8 | Alexandria | PBE | optimized geometry
data_K3PrTh3Se8
_cell_length_a 8.5346
_cell_length_b 8.5346
_cell_length_c 23.5835
_cell_angle_alpha 90.00
_cell_angle_beta 90.00
_cell_angle_gamma 120.00
_symmetry_space_group_name_H-M 'R -3 m'
_symmetry_Int_Tables_number 166
_symmetry_space_group_name_Hall '-R 3 2"'
loop_
_atom_site_label
_atom_site_type_symbol
_atom_site_fract_x
_atom_site_fract_y
_atom_site_fract_z
_atom_site_occupancy
K1 K 0.0000 0.5000 0.0000 1
Pr1 Pr 0.0000 0.0000 0.5000 1
Th1 Th 0.0000 0.5000 0.5000 1
Se1 Se 0.0000 0.0000 0.2385 1
Se2 Se 0.0075 0.5037 0.7628 1
# * uncorrected formation energy: -1.630 eV/atom
# * D(E_F): 9.70 states/eV/f.u.
# * uncorrected energy: -5.51 eV/atom
# * calculated volume: 1488 Å³ per cell

# K4PrTh3Se8 | Alexandria | PBE | optimized geometry
data_K4PrTh3Se8
_cell_length_a 8.5397
_cell_length_b 8.5397
_cell_length_c 23.5019
_cell_angle_alpha 90.00
_cell_angle_beta 90.00
_cell_angle_gamma 120.00
_symmetry_space_group_name_H-M 'R -3 m'
_symmetry_Int_Tables_number 166
_symmetry_space_group_name_Hall '-R 3 2"'
loop_
_atom_site_label
_atom_site_type_symbol
_atom_site_fract_x
_atom_site_fract_y
_atom_site_fract_z
_atom_site_occupancy
K1 K 0.0000 0.0000 0.0000 1
K2 K 0.0000 0.5000 0.0000 1
Pr1 Pr 0.0000 0.0000 0.5000 1
Th1 Th 0.0000 0.5000 0.5000 1
Se1 Se 0.0000 0.0000 0.2388 1
Se2 Se 0.0060 0.5030 0.7610 1
# * uncorrected formation energy: -1.592 eV/atom
# * D(E_F): 10.51 states/eV/f.u.
# * uncorrected energy: -5.30 eV/atom
# * calculated volume: 1484 Å³ per cell

# K4Pr3ThSe8 | Alexandria | PBE | optimized geometry
data_K4Pr3ThSe8
_cell_length_a 8.6915
_cell_length_b 8.6915
_cell_length_c 23.2001
_cell_angle_alpha 90.00
_cell_angle_beta 90.00
_cell_angle_gamma 120.00
_symmetry_space_group_name_H-M 'R -3 m'
_symmetry_Int_Tables_number 166
_symmetry_space_group_name_Hall '-R 3 2"'
loop_
_atom_site_label
_atom_site_type_symbol
_atom_site_fract_x
_atom_site_fract_y
_atom_site_fract_z
_atom_site_occupancy
K1 K 0.0000 0.0000 0.0000 1
K2 K 0.0000 0.5000 0.0000 1
Pr1 Pr 0.0000 0.5000 0.5000 1
Th1 Th 0.0000 0.0000 0.5000 1
Se1 Se 0.0000 0.0000 0.2386 1
Se2 Se 0.0074 0.5037 0.2378 1
# * uncorrected formation energy: -1.702 eV/atom
# * D(E_F): 4.91 states/eV/f.u.
# * uncorrected energy: -5.08 eV/atom
# * calculated volume: 1518 Å³ per cell

# K3Pr3TiSe8 | Alexandria | PBE | optimized geometry
data_K3Pr3TiSe8
_cell_length_a 8.4606
_cell_length_b 8.4606
_cell_length_c 23.5704
_cell_angle_alpha 90.00
_cell_angle_beta 90.00
_cell_angle_gamma 120.00
_symmetry_space_group_name_H-M 'R -3 m'
_symmetry_Int_Tables_number 166
_symmetry_space_group_name_Hall '-R 3 2"'
loop_
_atom_site_label
_atom_site_type_symbol
_atom_site_fract_x
_atom_site_fract_y
_atom_site_fract_z
_atom_site_occupancy
K1 K 0.0000 0.5000 0.0000 1
Pr1 Pr 0.0000 0.5000 0.5000 1
Ti1 Ti 0.0000 0.0000 0.5000 1
Se1 Se 0.0000 0.0000 0.2383 1
Se2 Se 0.0362 0.5181 0.2311 1
# * uncorrected formation energy: -1.570 eV/atom
# * uncorrected energy: -5.13 eV/atom
# * calculated volume: 1461 Å³ per cell

# K2PrTiSe4 | Alexandria | PBE | optimized geometry
data_K2PrTiSe4
_cell_length_a 7.1505
_cell_length_b 4.1436
_cell_length_c 8.0369
_cell_angle_alpha 90.00
_cell_angle_beta 107.18
_cell_angle_gamma 90.00
_symmetry_space_group_name_H-M 'P 1 2/m 1'
_symmetry_Int_Tables_number 10
loop_
_symmetry_equiv_pos_as_xyz
'x,y,z'
'-x,-y,-z'
'-x,y,-z'
'x,-y,z'
loop_
_atom_site_label
_atom_site_type_symbol
_atom_site_fract_x
_atom_site_fract_y
_atom_site_fract_z
_atom_site_occupancy
K1 K 0.0000 0.0000 0.0000 1
K2 K 0.5000 0.5000 0.0000 1
Pr1 Pr 0.0000 0.5000 0.5000 1
Ti1 Ti 0.5000 0.0000 0.5000 1
Se1 Se 0.2635 0.0000 0.7069 1
Se2 Se 0.2941 0.5000 0.3067 1
# * uncorrected formation energy: -1.402 eV/atom
# * D(E_F): 5.01 states/eV/f.u.
# * uncorrected energy: -5.00 eV/atom
# * calculated volume: 227 Å³ per cell

# KPrTlSe3 | Alexandria | PBE | optimized geometry
data_KPrTlSe3
_cell_length_a 9.0163
_cell_length_b 4.4364
_cell_length_c 12.6635
_cell_angle_alpha 90.00
_cell_angle_beta 108.85
_cell_angle_gamma 90.00
_symmetry_space_group_name_H-M 'P 1 21/m 1'
_symmetry_Int_Tables_number 11
loop_
_symmetry_equiv_pos_as_xyz
'x,y,z'
'-x,-y,-z'
'-x,y+1/2,-z'
'x,-y+1/2,z'
loop_
_atom_site_label
_atom_site_type_symbol
_atom_site_fract_x
_atom_site_fract_y
_atom_site_fract_z
_atom_site_occupancy
K1 K 0.0510 0.2500 0.3498 1
Pr1 Pr 0.4461 0.7500 0.6275 1
Tl1 Tl 0.4069 0.2500 0.8811 1
Se1 Se 0.2241 0.2500 0.6434 1
Se2 Se 0.3339 0.7500 0.3812 1
Se3 Se 0.3877 0.2500 0.1218 1
# * uncorrected formation energy: -1.139 eV/atom
# * D(E_F): 3.50 states/eV/f.u.
# * uncorrected energy: -4.26 eV/atom
# * calculated volume: 479 Å³ per cell

# KPrTm4Se8 | Alexandria | PBE | optimized geometry
data_KPrTm4Se8
_cell_length_a 8.4708
_cell_length_b 8.4708
_cell_length_c 21.4446
_cell_angle_alpha 90.00
_cell_angle_beta 90.00
_cell_angle_gamma 120.00
_symmetry_space_group_name_H-M 'R 3 m'
_symmetry_Int_Tables_number 160
_symmetry_space_group_name_Hall 'R 3 -2"'
loop_
_atom_site_label
_atom_site_type_symbol
_atom_site_fract_x
_atom_site_fract_y
_atom_site_fract_z
_atom_site_occupancy
K1 K 0.0000 0.0000 0.0000 1
Pr1 Pr 0.0000 0.0000 0.3636 1
Tm1 Tm 0.0000 0.0000 0.7428 1
Tm2 Tm 0.0121 0.5060 0.8705 1
Se1 Se 0.0000 0.0000 0.1366 1
Se2 Se 0.0000 0.0000 0.6114 1
Se3 Se 0.0129 0.5064 0.1242 1
Se4 Se 0.1829 0.3658 0.9421 1
# * uncorrected formation energy: -1.723 eV/atom
# * D(E_F): 0.00 states/eV/f.u.
# * uncorrected energy: -5.41 eV/atom
# * calculated volume: 1333 Å³ per cell

# KPr2TmSe4 | Alexandria | PBE | optimized geometry
data_KPr2TmSe4
_cell_length_a 7.4076
_cell_length_b 4.2029
_cell_length_c 7.4352
_cell_angle_alpha 90.00
_cell_angle_beta 108.50
_cell_angle_gamma 90.00
_symmetry_space_group_name_H-M 'P 1 2/m 1'
_symmetry_Int_Tables_number 10
loop_
_symmetry_equiv_pos_as_xyz
'x,y,z'
'-x,-y,-z'
'-x,y,-z'
'x,-y,z'
loop_
_atom_site_label
_atom_site_type_symbol
_atom_site_fract_x
_atom_site_fract_y
_atom_site_fract_z
_atom_site_occupancy
K1 K 0.0000 0.0000 0.0000 1
Pr1 Pr 0.5000 0.0000 0.5000 1
Pr2 Pr 0.5000 0.5000 0.0000 1
Tm1 Tm 0.0000 0.5000 0.5000 1
Se1 Se 0.2370 0.0000 0.7319 1
Se2 Se 0.2516 0.5000 0.2680 1
# * uncorrected formation energy: -1.702 eV/atom
# * D(E_F): 2.76 states/eV/f.u.
# * uncorrected energy: -5.33 eV/atom
# * calculated volume: 220 Å³ per cell

# K3Pr2TmSe6 | Alexandria | PBE | optimized geometry
data_K3Pr2TmSe6
_cell_length_a 7.4650
_cell_length_b 12.9317
_cell_length_c 8.0975
_cell_angle_alpha 90.00
_cell_angle_beta 107.93
_cell_angle_gamma 90.00
_symmetry_space_group_name_H-M 'C 1 2/m 1'
_symmetry_Int_Tables_number 12
loop_
_symmetry_equiv_pos_as_xyz
'x,y,z'
'-x,-y,-z'
'-x,y,-z'
'x,-y,z'
'x+1/2,y+1/2,z'
'-x+1/2,-y+1/2,-z'
'-x+1/2,y+1/2,-z'
'x+1/2,-y+1/2,z'
loop_
_atom_site_label
_atom_site_type_symbol
_atom_site_fract_x
_atom_site_fract_y
_atom_site_fract_z
_atom_site_occupancy
K1 K 0.0000 0.0000 0.0000 1
K2 K 0.0000 0.3314 0.0000 1
Pr1 Pr 0.0000 0.1664 0.5000 1
Tm1 Tm 0.0000 0.5000 0.5000 1
Se1 Se 0.2300 0.3395 0.7088 1
Se2 Se 0.2491 0.0000 0.7089 1
# * uncorrected formation energy: -1.745 eV/atom
# * D(E_F): 0.00 states/eV/f.u.
# * uncorrected energy: -4.93 eV/atom
# * calculated volume: 744 Å³ per cell